No. 1
A plane-wave DFT calculation with PBE was carried out for a relaxed structure of BeFePt.

Structure (POSCAR):
```
BeFePt
1.0
4.896 0.000 0.039
0.000 3.858 0.000
-4.133 0.000 7.499
Be Fe Pt
4 4 4
direct
0.110 0.000 0.655
0.890 0.000 0.345
0.110 0.500 0.155
0.890 0.500 0.845
0.777 0.000 0.017
0.223 0.000 0.983
0.777 0.500 0.517
0.223 0.500 0.483
0.638 0.000 0.682
0.362 0.000 0.318
0.638 0.500 0.182
0.362 0.500 0.818
```

Output
- SG: C2/m
- ΔH_f (0 K): -358 meV/atom

No. 2
A plane-wave DFT calculation with PBE was carried out for a relaxed structure of Be2FePt3.

Structure (POSCAR):
```
Be2FePt3
1.0
2.776 0.000 0.000
0.000 2.776 0.000
0.000 0.000 9.655
Be Fe Pt
2 1 3
direct
0.500 0.500 0.844
0.500 0.500 0.156
0.500 0.500 0.500
0.000 0.000 0.000
0.000 0.000 0.696
0.000 0.000 0.304
```

Output
- SG: P4/mmm
- ΔH_f (0 K): -617 meV/atom

No. 3
A plane-wave DFT calculation with PBE was carried out for a relaxed structure of BeFePt.

Structure (POSCAR):
```
BeFePt
1.0
3.804 0.000 0.000
1.902 3.294 0.000
1.902 1.098 3.106
Be Fe Pt
1 1 1
direct
0.750 0.750 0.750
0.000 0.000 0.000
0.500 0.500 0.500
```

Output
- SG: F-43m
- ΔH_f (0 K): -137 meV/atom

No. 4
A plane-wave DFT calculation with PBE was carried out for a relaxed structure of BeFePt.

Structure (POSCAR):
```
BeFePt
1.0
-2.281 1.181 0.817
-6.150 -4.622 -10.481
-1.018 -3.426 2.108
Be Fe Pt
4 4 4
direct
0.000 0.723 0.250
0.000 0.277 0.750
0.500 0.223 0.250
0.500 0.777 0.750
0.000 0.056 0.250
0.000 0.944 0.750
0.500 0.556 0.250
0.500 0.444 0.750
0.000 0.373 0.250
0.000 0.627 0.750
0.500 0.873 0.250
0.500 0.127 0.750
```

Output
- SG: Cmcm
- ΔH_f (0 K): -300 meV/atom

No. 5
A plane-wave DFT calculation with PBE was carried out for a relaxed structure of BeFePt2.

Structure (POSCAR):
```
BeFePt2
1.0
-0.128 -0.148 4.257
3.519 -0.955 2.205
1.957 3.009 2.296
Be Fe Pt
1 1 2
direct
0.500 0.500 0.500
0.750 0.750 0.750
0.000 0.000 0.000
0.250 0.250 0.250
```

Output
- SG: F-43m
- ΔH_f (0 K): -71 meV/atom

No. 6
A plane-wave DFT calculation with PBE was carried out for a relaxed structure of BeFePt2.

Structure (POSCAR):
```
BeFePt2
1.0
-0.365 2.913 2.442
-2.757 1.487 -2.185
-7.141 -2.003 4.308
Be Fe Pt
2 2 4
direct
0.500 0.500 0.000
0.250 0.750 0.500
0.000 0.000 0.000
0.750 0.250 0.500
0.614 0.125 0.250
0.136 0.625 0.250
0.375 0.386 0.750
0.875 0.864 0.750
```

Output
- SG: I-42d
- ΔH_f (0 K): 85 meV/atom

No. 7
A plane-wave DFT calculation with PBE was carried out for a relaxed structure of BeFePt2.

Structure (POSCAR):
```
BeFePt2
1.0
2.723 0.000 0.000
0.000 3.707 0.000
0.000 0.000 5.309
Be Fe Pt
1 1 2
direct
0.000 0.000 0.479
0.500 0.500 0.758
0.000 0.000 0.966
0.500 0.500 0.297
```

Output
- SG: Pmm2
- ΔH_f (0 K): -289 meV/atom

No. 8
A plane-wave DFT calculation with PBE was carried out for a relaxed structure of BeFePt2.

Structure (POSCAR):
```
BeFePt2
1.0
-0.971 1.530 2.085
-2.586 -0.570 -0.785
-0.011 -5.421 3.974
Be Fe Pt
1 1 2
direct
0.500 0.500 0.250
0.500 0.500 0.750
0.000 0.000 0.030
0.000 0.000 0.470
```

Output
- SG: P4/mmm
- ΔH_f (0 K): -528 meV/atom

No. 9
A plane-wave DFT calculation with PBE was carried out for a relaxed structure of BeFePt.

Structure (POSCAR):
```
BeFePt
1.0
4.301 0.000 -0.028
0.000 2.727 0.000
-1.561 0.000 12.218
Be Fe Pt
4 4 4
direct
0.749 0.000 0.683
0.749 0.500 0.183
0.339 0.000 0.852
0.339 0.500 0.352
0.251 0.000 0.194
0.251 0.500 0.694
0.894 0.000 0.033
0.894 0.500 0.533
0.389 0.000 0.512
0.389 0.500 0.012
0.828 0.000 0.340
0.828 0.500 0.840
```

Output
- SG: Cm
- ΔH_f (0 K): -324 meV/atom

No. 10
A plane-wave DFT calculation with PBE was carried out for a relaxed structure of BeFeRu2Pt.

Structure (POSCAR):
```
BeFeRu2Pt
1.0
4.062 0.000 0.000
0.000 4.072 0.000
0.000 0.000 4.062
Ru Fe Pt Be
2 1 1 1
direct
0.000 0.000 0.500
0.500 0.000 0.000
0.500 0.500 0.500
0.000 0.500 0.000
0.000 0.000 0.000
```

Output
- SG: P4/mmm
- ΔH_f (0 K): 650 meV/atom

No. 11
A plane-wave DFT calculation with PBE was carried out for a relaxed structure of BeFeSiPt2.

Structure (POSCAR):
```
BeFeSiPt2
1.0
4.171 0.000 0.000
0.000 3.906 0.000
0.000 0.000 4.171
Be Si Fe Pt
1 1 1 2
direct
0.000 0.000 0.000
0.500 0.500 0.500
0.000 0.500 0.000
0.000 0.000 0.500
0.500 0.000 0.000
```

Output
- SG: P4/mmm
- ΔE_f (raw): 1.4 eV/f.u.

No. 12
A plane-wave DFT calculation with PBE was carried out for a relaxed structure of BeFeTcPt.

Structure (POSCAR):
```
BeFeTcPt
1.0
-0.302 -1.010 -4.006
3.319 0.282 -2.463
1.829 -3.438 -1.413
Be Tc Pt Fe
1 1 1 1
direct
0.500 0.500 0.500
0.750 0.750 0.750
0.250 0.250 0.250
0.000 0.000 0.000
```

Output
- SG: F-43m
- ΔH_f (0 K): -172 meV/atom

Which formula does entry 8 have? BeFePt2